P3C after structural relaxation, computed with PBE.

Lattice parameters (Å, degrees): 4.6850 4.6850 4.6850 90.00 90.00 90.00
Closest atoms and distances in Å follow each position.
Fractional coordinates of all 8 atoms:
P: 0.0000 0.2500 0.5000  2 P 2.34, 4 C 2.62
P: 0.7500 0.5000 0.0000  2 P 2.34, 4 C 2.62
P: 0.5000 0.0000 0.7500  2 P 2.34, 4 C 2.62
P: 0.0000 0.7500 0.5000  2 P 2.34, 4 C 2.62
C: 0.5000 0.5000 0.5000  12 P 2.62
P: 0.5000 0.0000 0.2500  2 P 2.34, 4 C 2.62
C: 0.0000 0.0000 0.0000  12 P 2.62
P: 0.2500 0.5000 0.0000  2 P 2.34, 4 C 2.62

V (A^3/atom): 12.9
E above lowest polymorph (meV per atom): 1483
Spin magnetization (Bohr magnetons per cell): 0.00
Formation energy from the elements (eV per atom): 1.891



BaLaRh2 after structural relaxation, computed with PBE.

Lattice parameters (Å, degrees): 5.2042 5.2042 5.2042 60.00 60.00 60.00
Closest atoms and distances in Å follow each position.
Fractional coordinates of all 4 atoms:
Rh: 0.2500 0.2500 0.2500  4 La 3.19, 4 Ba 3.19
Rh: 0.7500 0.7500 0.7500  4 La 3.19, 4 Ba 3.19
Ba: 0.0000 0.0000 0.0000  8 Rh 3.19
La: 0.5000 0.5000 0.5000  8 Rh 3.19

V (A^3/atom): 24.9
Spin magnetization (Bohr magnetons per cell): 0.00
Formation energy from the elements (eV per atom): -0.220



AcRhAu2 after structural relaxation, computed with PBE.

Lattice parameters (Å, degrees): 4.6552 4.6552 5.7386 66.07 66.07 60.00
Closest atoms and distances in Å follow each position.
Fractional coordinates of all 4 atoms:
Ac: 0.0000 0.0000 0.0000  8 Au 3.18-3.29
Au: 0.7910 0.7910 0.6270  3 Rh 2.76, 3 Au 2.98
Rh: 0.5000 0.5000 0.5000  6 Au 2.76
Au: 0.2090 0.2090 0.3730  3 Rh 2.76, 3 Au 2.98

V (A^3/atom): 23.8
E above lowest polymorph (meV per atom): 130
Spin magnetization (Bohr magnetons per cell): 0.00
Formation energy from the elements (eV per atom): -0.478



CsCdIn2 after structural relaxation, computed with PBE.

Lattice parameters (Å, degrees): 4.9905 4.9905 7.8719 71.52 71.52 60.00
Closest atoms and distances in Å follow each position.
Fractional coordinates of all 4 atoms:
Cd: 0.0000 0.0000 0.0000  6 In 3.00
Cs: 0.5000 0.5000 0.5000  6 In 4.03
In: 0.2946 0.2946 0.1163  3 Cd 3.00, 3 In 3.35
In: 0.7054 0.7054 0.8837  3 Cd 3.00, 3 In 3.35

V (A^3/atom): 39.5
Spin magnetization (Bohr magnetons per cell): 0.00
Formation energy from the elements (eV per atom): -0.063